This record from Alexandria describes a relaxed ZnIn2Co crystal. The functional is PBE.

Results
**Energy**: -3.19 eV per atom
**Space-group type**: No. 12
**Energy relative to the elements**: 0.28 eV/atom

Cell: 8.9184 3.4724 4.9054 Å, 90.00 104.75 90.00°
With the nearest neighbours (Å) after each atom.
Positions (direct):
Zn (0.0000, 0.0000, 0.0000)  6 In 2.77-2.94, 4 Co 3.01
Zn (0.5000, 0.5000, 0.0000)  6 In 2.77-2.94, 4 Co 3.01
In (0.2383, 0.0000, 0.7316)  3 Co 2.76-2.84, 3 Zn 2.77-2.94, 2 In 2.91
In (0.2617, 0.5000, 0.2684)  3 Co 2.76-2.84, 3 Zn 2.77-2.94, 2 In 2.91
In (0.7383, 0.5000, 0.7316)  3 Co 2.76-2.84, 3 Zn 2.77-2.94, 2 In 2.91
In (0.7617, 0.0000, 0.2684)  3 Co 2.76-2.84, 3 Zn 2.77-2.94, 2 In 2.91
Co (0.0000, 0.5000, 0.5000)  6 In 2.76-2.84, 4 Zn 3.01
Co (0.5000, 0.0000, 0.5000)  6 In 2.76-2.84, 4 Zn 3.01



This record from Alexandria describes a relaxed Li6Se2O crystal. The functional is PBE.

Results
**Energy**: -3.93 eV per atom
**Space-group type**: No. 136
**Formation energy (no corrections)**: -1326 meV per atom
**Excess energy over the best structure of this formula in the dataset**: 43.5 meV per atom

Cell: 5.1989 5.1989 11.2328 Å, 90.00 90.00 90.00°
With the nearest neighbours (Å) after each atom.
Positions (direct):
Li (0.1680, 0.1680, 0.1373)  1 O 1.98
Li (0.1680, 0.1680, 0.8627)  1 O 1.98
Li (0.2325, 0.2325, 0.5000)  1 O 1.97
Li (0.2675, 0.7325, 0.0000)  1 O 1.97
Li (0.3320, 0.6680, 0.3627)  1 O 1.98
Li (0.3320, 0.6680, 0.6373)  1 O 1.98
Li (0.6680, 0.3320, 0.3627)  1 O 1.98
Li (0.6680, 0.3320, 0.6373)  1 O 1.98
Li (0.7325, 0.2675, 0.0000)  1 O 1.97
Li (0.7675, 0.7675, 0.5000)  1 O 1.97
Li (0.8320, 0.8320, 0.1373)  1 O 1.98
Li (0.8320, 0.8320, 0.8627)  1 O 1.98
Se (0.0000, 0.0000, 0.3348)  6 Li 2.46-2.54
Se (0.0000, 0.0000, 0.6652)  6 Li 2.46-2.54
Se (0.5000, 0.5000, 0.1652)  6 Li 2.46-2.54
Se (0.5000, 0.5000, 0.8348)  6 Li 2.46-2.54
O (0.0000, 0.0000, 0.0000)  6 Li 1.97-1.98
O (0.5000, 0.5000, 0.5000)  6 Li 1.97-1.98



This record from Alexandria describes a relaxed Tm5Al3 crystal. The functional is PBE.

Results
**Energy**: -4.49 eV per atom
**Space-group type**: No. 140
**Energy relative to the elements**: -0.29 eV/atom
**Excess energy over the best structure of this formula in the dataset**: 10.1 meV per atom

Cell: 8.8555 8.8555 8.8555 Å, 128.57 128.57 75.70°
With the nearest neighbours (Å) after each atom.
Positions (direct):
Tm (0.0000, 0.0000, 0.0000)  4 Al 3.05
Tm (0.0185, 0.5185, 0.8352)  5 Al 3.07-3.19, 1 Tm 3.34
Tm (0.1833, 0.0185, 0.5000)  5 Al 3.07-3.19, 1 Tm 3.34
Tm (0.3167, 0.8167, 0.8352)  5 Al 3.07-3.19, 1 Tm 3.34
Tm (0.4815, 0.3167, 0.5000)  5 Al 3.07-3.19, 1 Tm 3.34
Tm (0.5000, 0.5000, 0.0000)  4 Al 3.05
Tm (0.5185, 0.6833, 0.5000)  5 Al 3.07-3.19, 1 Tm 3.34
Tm (0.6833, 0.1833, 0.1648)  5 Al 3.07-3.19, 1 Tm 3.34
Tm (0.8167, 0.9815, 0.5000)  5 Al 3.07-3.19, 1 Tm 3.34
Tm (0.9815, 0.4815, 0.1648)  5 Al 3.07-3.19, 1 Tm 3.34
Al (0.1224, 0.3776, 0.5000)  1 Al 2.66
Al (0.2500, 0.2500, 0.0000)  10 Tm 3.19-3.50
Al (0.3776, 0.8776, 0.2552)  1 Al 2.66
Al (0.6224, 0.1224, 0.7448)  1 Al 2.66
Al (0.7500, 0.7500, 0.0000)  10 Tm 3.19-3.50
Al (0.8776, 0.6224, 0.5000)  1 Al 2.66



This record from Alexandria describes a relaxed ZnCdGa crystal. The functional is PBE.

Results
**Energy**: -1.71 eV per atom
**Space-group type**: No. 12
**Energy relative to the elements**: 0.03 eV/atom

Cell: 5.1305 3.0270 14.6566 Å, 90.00 92.02 90.00°
With the nearest neighbours (Å) after each atom.
Positions (direct):
Zn (0.1728, 0.0000, 0.0707)  7 Zn 2.68-2.98, 3 Ga 2.79-2.83
Zn (0.3272, 0.5000, 0.9293)  7 Zn 2.68-2.98, 3 Ga 2.79-2.83
Zn (0.6728, 0.5000, 0.0707)  7 Zn 2.68-2.98, 3 Ga 2.79-2.83
Zn (0.8272, 0.0000, 0.9293)  7 Zn 2.68-2.98, 3 Ga 2.79-2.83
Cd (0.1658, 0.0000, 0.5966)  7 Cd 2.98-3.25, 3 Ga 3.07-3.22
Cd (0.3342, 0.5000, 0.4034)  7 Cd 2.98-3.25, 3 Ga 3.07-3.22
Cd (0.6658, 0.5000, 0.5966)  7 Cd 2.98-3.25, 3 Ga 3.07-3.22
Cd (0.8342, 0.0000, 0.4034)  7 Cd 2.98-3.25, 3 Ga 3.07-3.22
Ga (0.0166, 0.5000, 0.2222)  3 Zn 2.79-2.83, 6 Ga 2.98-3.03, 1 Cd 3.07
Ga (0.4834, 0.0000, 0.7778)  3 Zn 2.79-2.83, 6 Ga 2.98-3.03, 1 Cd 3.07
Ga (0.5166, 0.0000, 0.2222)  3 Zn 2.79-2.83, 6 Ga 2.98-3.03, 1 Cd 3.07
Ga (0.9834, 0.5000, 0.7778)  3 Zn 2.79-2.83, 6 Ga 2.98-3.03, 1 Cd 3.07



This record from Alexandria describes a relaxed GeMo2P crystal. The functional is PBE.

Results
**Energy**: -7.99 eV per atom
**Space-group type**: No. 225
**Energy relative to the elements**: -0.07 eV/atom
**Excess energy over the best structure of this formula in the dataset**: 29.7 meV per atom

Cell: 6.1439 6.1439 6.1439 Å, 90.00 90.00 90.00°
With the nearest neighbours (Å) after each atom.
Positions (direct):
Ge (0.0000, 0.0000, 0.0000)  8 Mo 2.66
Ge (0.0000, 0.5000, 0.5000)  8 Mo 2.66
Ge (0.5000, 0.0000, 0.5000)  8 Mo 2.66
Ge (0.5000, 0.5000, 0.0000)  8 Mo 2.66
Mo (0.2500, 0.2500, 0.2500)  4 P 2.66, 4 Ge 2.66
Mo (0.2500, 0.2500, 0.7500)  4 Ge 2.66, 4 P 2.66
Mo (0.2500, 0.7500, 0.2500)  4 Ge 2.66, 4 P 2.66
Mo (0.2500, 0.7500, 0.7500)  4 Ge 2.66, 4 P 2.66
Mo (0.7500, 0.2500, 0.2500)  4 Ge 2.66, 4 P 2.66
Mo (0.7500, 0.2500, 0.7500)  4 Ge 2.66, 4 P 2.66
Mo (0.7500, 0.7500, 0.2500)  4 Ge 2.66, 4 P 2.66
Mo (0.7500, 0.7500, 0.7500)  4 Ge 2.66, 4 P 2.66
P (0.0000, 0.0000, 0.5000)  8 Mo 2.66
P (0.0000, 0.5000, 0.0000)  8 Mo 2.66
P (0.5000, 0.0000, 0.0000)  8 Mo 2.66
P (0.5000, 0.5000, 0.5000)  8 Mo 2.66



Which DOS(E_F) belongs to each record? In order, 0.63 0.00 0.80 0.21 1.31 states/eV per atom.
Which calculated volume belongs to each record? In order, 147 304 413 227 232 Å³/cell.